## YPtI2 (GGA-PBE)

Data for YPtI2 after structural relaxation.

Unit cell a=6.7201 b=6.7201 c=7.8089 alpha=64.51 beta=64.51 gamma=90.00
Last column: nearest neighbours and their distance in Å.
Atoms (fractional coordinates):
I 0.0896 0.6250 0.2500  2 Pt 2.70, 2 Y 2.98
I 0.8750 0.9104 0.7500  2 Pt 2.70, 2 Y 2.98
I 0.6604 0.1250 0.2500  2 Pt 2.70, 2 Y 2.98
Y 0.5000 0.5000 0.0000  4 I 2.98
Pt 0.7500 0.2500 0.5000  4 I 2.70
Y 0.2500 0.7500 0.5000  4 I 2.98
I 0.3750 0.3396 0.7500  2 Pt 2.70, 2 Y 2.98
Pt 0.0000 0.0000 0.0000  4 I 2.70

Properties
polymorph energy (0 for the lowest one): 0.63 eV per formula unit
total moment: 0.771 Bohr magnetons per cell
DFT total energy: -4.029 eV per atom
Fermi-level density of states: 6.9 states/eV/cell
ΔE_f (raw): -0.51 eV/f.u.
SG: No. 122